Below is an optimized crystal structure of PrBi2, with properties calculated at the PBE-GGA level.

## Properties
The density of states at the Fermi level is 5.97 states/eV/cell. The symmetry is No. 227. The calculation puts the calculated total energy at -4.43 eV/atom.

Cell: 6.5769 6.5769 6.5769 Å, 60.00 60.00 60.00°
With the nearest neighbours (Å) after each atom.
Element x y z (fractional)
Bi 0.6250 0.6250 0.6250  6 Bi 3.29
Pr 0.2500 0.2500 0.2500  12 Bi 3.86, 4 Pr 4.03
Bi 0.1250 0.6250 0.6250  6 Bi 3.29
Bi 0.6250 0.1250 0.6250  6 Bi 3.29
Pr 0.0000 0.0000 0.0000  12 Bi 3.86, 4 Pr 4.03
Bi 0.6250 0.6250 0.1250  6 Bi 3.29